(1)
A relaxed structure of SrNdGd2, computed with GGA-PBE.

Cell lengths 3.7227, 3.7227, 10.7512 Å; angles 90.00, 90.00, 90.00 degrees
Closest atoms and distances in Å follow each position.
Element x y z (fractional)
Sr 0.0000 0.0000 0.0000  4 Sr 3.72, 8 Gd 3.97
Nd 0.0000 0.0000 0.5000  8 Gd 3.57, 4 Nd 3.72
Gd 0.5000 0.5000 0.2761  4 Nd 3.57, 4 Gd 3.72, 4 Sr 3.97
Gd 0.5000 0.5000 0.7239  4 Nd 3.57, 4 Gd 3.72, 4 Sr 3.97

SG: P4/mmm
Calculated density: 6089 kg/m³
Energy above the lowest structure with this stoichiometry: 0.0 kJ per mole of atoms
Calculated formation energy: 0.095 eV/atom
DOS at the Fermi energy: 7.07 states/eV/f.u.
E_tot: -8.56 eV/atom

(2)
A relaxed structure of Pm5DyPb5, computed with GGA-PBE.

Cell lengths 8.6839, 8.6839, 7.5121 Å; angles 103.07, 103.07, 43.09 degrees
Closest atoms and distances in Å follow each position.
Element x y z (fractional)
Pm 0.0000 0.0000 0.0000  4 Pb 3.19-3.25
Pm 0.3316 0.3316 0.1759  5 Pb 3.18-3.24
Pm 0.3384 0.3384 0.6787  5 Pb 3.19-3.30
Pm 0.6616 0.6616 0.3213  5 Pb 3.19-3.30
Pm 0.6684 0.6684 0.8241  5 Pb 3.18-3.24
Dy 0.0000 0.0000 0.5000  6 Pb 3.16-3.20
Pb 0.1651 0.1651 0.8382  5 Pm 3.19-3.30, 1 Dy 3.20
Pb 0.1659 0.1659 0.3470  1 Dy 3.16, 5 Pm 3.19-3.26
Pb 0.5000 0.5000 0.5000  4 Pm 3.18-3.21, 2 Dy 3.19
Pb 0.8341 0.8341 0.6530  1 Dy 3.16, 5 Pm 3.19-3.26
Pb 0.8349 0.8349 0.1618  5 Pm 3.19-3.30, 1 Dy 3.20

SG: C2/m
Calculated density: 8509 kg/m³
Calculated formation energy: -0.322 eV/atom
DOS at the Fermi energy: 9.08 states/eV/f.u.
E_tot: -4.59 eV/atom

(3)
A relaxed structure of AgHAu, computed with GGA-PBE.

Cell lengths 3.2709, 3.2709, 4.4856 Å; angles 90.00, 90.00, 120.00 degrees
Closest atoms and distances in Å follow each position.
Element x y z (fractional)
Ag 0.0000 0.0000 0.0000  6 Au 2.93, 6 H 2.93, 6 Ag 3.27
H 0.3333 0.6667 0.5000  3 Au 1.89
Au 0.6667 0.3333 0.5000  3 H 1.89

SG: P-6m2
Calculated density: 12220 kg/m³
Energy above the lowest structure with this stoichiometry: 10.3 kJ per mole of atoms
DOS at the Fermi energy: 0.95 states/eV/f.u.
E_tot: -2.89 eV/atom